Density functional theory data (meta-GGA SCAN) for a PBEsol-optimized structure of NaRh2O4.

crystal system: orthorhombic
calculated total energy: -422.27 eV/cell
SG: Pnma (62)
magnetization: 3.399 Bohr magnetons per cell
calculated density: 6.689 Mg/m³

extended XYZ file:
```
28
Lattice="8.909 0.000 0.000 0.000 3.049 0.000 0.000 0.000 10.703" Properties=species:S:1:pos:R:3 pbc="T T T"
Na 2.108 0.762 1.674
Na 2.347 2.287 7.025
Na 6.562 0.762 3.678
Na 6.801 2.287 9.030
Rh 0.505 0.762 4.104
Rh 0.775 0.762 9.598
Rh 3.679 2.287 4.246
Rh 3.949 2.287 9.456
Rh 4.960 0.762 1.248
Rh 5.229 0.762 6.457
Rh 8.134 2.287 1.106
Rh 8.403 2.287 6.599
O 0.299 2.287 8.424
O 0.731 0.762 6.095
O 1.032 2.287 0.209
O 1.749 2.287 3.635
O 2.706 0.762 8.987
O 3.422 0.762 5.560
O 3.723 2.287 0.744
O 4.156 0.762 3.072
O 4.753 2.287 7.631
O 5.185 0.762 9.960
O 5.486 2.287 5.143
O 6.203 2.287 1.716
O 7.160 0.762 7.068
O 7.877 0.762 10.495
O 8.178 2.287 4.608
O 8.610 0.762 2.279
```